PaTi2Bi | PBE | relaxed

Cell lengths 4.880, 4.880, 4.880 Å; angles 60.00, 60.00, 60.00 degrees
Fractional positions:
Pa (0.500, 0.500, 0.500)
Bi (0.000, 0.000, 0.000)
Ti (0.250, 0.250, 0.250)
Ti (0.750, 0.750, 0.750)

Computed properties:
E above lowest polymorph in meV/atom: 86.7
ΔH_f (0 K) in eV/atom: 0.029
Crystal system: cubic

***

PaTi2Bi2 | PBE | relaxed

Cell lengths 7.791, 7.791, 5.657 Å; angles 115.03, 115.03, 102.10 degrees
Fractional positions:
Pa (0.081, 0.919, 0.250)
Pa (0.919, 0.081, 0.750)
Ti (0.757, 0.611, 0.522)
Ti (0.389, 0.243, 0.978)
Ti (0.611, 0.757, 0.022)
Ti (0.243, 0.389, 0.478)
Bi (0.361, 0.639, 0.250)
Bi (0.799, 0.201, 0.250)
Bi (0.201, 0.799, 0.750)
Bi (0.639, 0.361, 0.750)

Computed properties:
ΔH_f (0 K) in eV/atom: 0.119
Crystal system: monoclinic

***

PaTiBi | PBE | relaxed

Cell lengths 3.107, 3.107, 8.302 Å; angles 100.79, 100.78, 90.00 degrees
Each line ends with the local moment (μB).
Fractional positions:
Bi (0.858, 0.858, 0.715)  0.00
Ti (0.492, 0.492, 0.984)  0.42
Pa (0.650, 0.650, 0.300)  0.56

Computed properties:
E above lowest polymorph in meV/atom: 569.0
ΔH_f (0 K) in eV/atom: 0.574
Crystal system: tetragonal

***

PaTi5Bi7 | PBE | relaxed

Cell lengths 6.015, 7.823, 7.823 Å; angles 82.24, 67.39, 67.39 degrees
Each line ends with the local moment (μB).
Fractional positions:
Pa (0.985, 0.015, 0.015)  0.93
Ti (0.501, 0.002, 0.491)  0.03
Ti (0.006, 0.002, 0.491)  0.03
Ti (0.501, 0.491, 0.002)  0.03
Ti (0.006, 0.491, 0.002)  0.03
Ti (0.756, 0.744, 0.744)  -0.04
Bi (0.652, 0.348, 0.348)  0.00
Bi (0.306, 0.694, 0.694)  0.01
Bi (0.988, 0.334, 0.690)  0.00
Bi (0.988, 0.690, 0.334)  0.00
Bi (0.268, 0.232, 0.232)  0.00
Bi (0.522, 0.804, 0.153)  0.00
Bi (0.522, 0.153, 0.804)  0.00

Computed properties:
ΔH_f (0 K) in eV/atom: -0.057
Crystal system: orthorhombic

***

Pa2TiBi | PBE | relaxed

Cell lengths 4.877, 4.389, 4.389 Å; angles 90.00, 90.00, 90.00 degrees
Fractional positions:
Pa (0.000, 0.000, 0.500)
Pa (0.000, 0.500, 0.000)
Bi (0.500, 0.500, 0.500)
Ti (0.500, 0.000, 0.000)

Computed properties:
E above lowest polymorph in meV/atom: 0.0
ΔH_f (0 K) in eV/atom: -0.020
Crystal system: tetragonal

***

PaTi2Bi | PBE | relaxed

Cell lengths 3.742, 4.712, 4.712 Å; angles 90.00, 90.00, 90.00 degrees
Fractional positions:
Pa (0.500, 0.500, 0.500)
Bi (0.500, 0.000, 0.000)
Ti (0.000, 0.000, 0.500)
Ti (0.000, 0.500, 0.000)

Computed properties:
E above lowest polymorph in meV/atom: 0.0
ΔH_f (0 K) in eV/atom: -0.058
Crystal system: tetragonal

***

PaTiBi | PBE | relaxed

Cell lengths 3.248, 3.248, 7.913 Å; angles 90.00, 90.00, 120.00 degrees
Fractional positions:
Pa (0.667, 0.333, 0.354)
Bi (0.000, 0.000, 0.978)
Ti (0.333, 0.667, 0.668)

Computed properties:
E above lowest polymorph in meV/atom: 101.8
ΔH_f (0 K) in eV/atom: 0.107
Crystal system: trigonal

***

Pa2TiBi | PBE | relaxed

Cell lengths 5.171, 5.171, 5.297 Å; angles 60.78, 60.78, 60.00 degrees
Fractional positions:
Pa (0.753, 0.753, 0.740)
Pa (0.247, 0.247, 0.260)
Bi (0.000, 0.000, 0.000)
Ti (0.500, 0.500, 0.500)

Computed properties:
E above lowest polymorph in meV/atom: 378.0
ΔH_f (0 K) in eV/atom: 0.358
Crystal system: trigonal

***

PaTiBi3 | PBE | relaxed

Cell lengths 5.897, 6.460, 7.888 Å; angles 90.00, 111.95, 90.00 degrees
Each line ends with the local moment (μB).
Fractional positions:
Pa (0.363, 0.750, 0.726)  0.27
Pa (0.637, 0.250, 0.274)  0.27
Ti (0.004, 0.250, 0.008)  0.24
Ti (0.996, 0.750, 0.992)  0.24
Bi (0.833, 0.999, 0.665)  -0.02
Bi (0.167, 0.499, 0.335)  -0.02
Bi (0.422, 0.250, 0.845)  -0.02
Bi (0.167, 0.001, 0.335)  -0.02
Bi (0.833, 0.501, 0.665)  -0.02
Bi (0.578, 0.750, 0.155)  -0.02

Computed properties:
ΔH_f (0 K) in eV/atom: -0.009
Crystal system: orthorhombic

***

PaTlBi | PBE | relaxed

Cell lengths 3.968, 3.968, 6.071 Å; angles 109.07, 109.07, 90.00 degrees
Each line ends with the local moment (μB).
Fractional positions:
Tl (0.330, 0.330, 0.660)  0.03
Pa (0.005, 0.005, 0.009)  0.88
Bi (0.665, 0.665, 0.330)  -0.03

Computed properties:
E above lowest polymorph in meV/atom: 0.0
ΔH_f (0 K) in eV/atom: 0.179
Crystal system: tetragonal

***

PaTlBi | PBE | relaxed

Cell lengths 3.241, 5.517, 5.517 Å; angles 120.00, 90.00, 90.00 degrees
Each line ends with the local moment (μB).
Fractional positions:
Tl (0.879, 0.000, 0.000)  0.02
Pa (0.332, 0.333, 0.667)  1.41
Bi (0.789, 0.667, 0.333)  -0.02

Computed properties:
E above lowest polymorph in meV/atom: 26.6
ΔH_f (0 K) in eV/atom: 0.205
Crystal system: trigonal

***

Pa2TlBi3 | PBE | relaxed

Cell lengths 4.457, 4.457, 8.942 Å; angles 90.00, 90.00, 90.00 degrees
Fractional positions:
Pa (0.500, 0.000, 0.717)
Pa (0.000, 0.500, 0.283)
Tl (0.500, 0.500, 0.000)
Bi (0.500, 0.000, 0.355)
Bi (0.000, 0.500, 0.645)
Bi (0.000, 0.000, 0.000)

Computed properties:
ΔH_f (0 K) in eV/atom: -0.118
Crystal system: tetragonal

***

Pa2TlBi9 | PBE | relaxed

Cell lengths 4.828, 4.828, 15.506 Å; angles 90.00, 90.00, 90.00 degrees
Fractional positions:
Pa (0.000, 0.000, 0.341)
Pa (0.000, 0.000, 0.659)
Tl (0.000, 0.000, 0.000)
Bi (0.500, 0.500, 0.000)
Bi (0.500, 0.500, 0.336)
Bi (0.500, 0.500, 0.664)
Bi (0.500, 0.000, 0.176)
Bi (0.500, 0.000, 0.500)
Bi (0.500, 0.000, 0.824)
Bi (0.000, 0.500, 0.176)
Bi (0.000, 0.500, 0.500)
Bi (0.000, 0.500, 0.824)

Computed properties:
ΔH_f (0 K) in eV/atom: -0.057
Crystal system: tetragonal

***

PaTlBi | PBE | relaxed

Cell lengths 7.774, 7.774, 8.804 Å; angles 100.71, 100.71, 125.38 degrees
Each line ends with the local moment (μB).
Fractional positions:
Bi (0.625, 0.375, 0.250)  -0.03
Bi (0.125, 0.375, 0.750)  -0.03
Bi (0.625, 0.375, 0.750)  -0.03
Bi (0.625, 0.875, 0.250)  -0.03
Pa (0.037, 0.963, 0.500)  0.82
Pa (0.787, 0.213, 0.000)  0.82
Pa (0.463, 0.537, 0.500)  0.82
Pa (0.213, 0.787, 0.000)  0.82
Tl (0.158, 0.658, 0.316)  0.01
Tl (0.092, 0.092, 0.184)  0.01
Tl (0.908, 0.908, 0.816)  0.01
Tl (0.342, 0.842, 0.684)  0.01

Computed properties:
E above lowest polymorph in meV/atom: 150.7
ΔH_f (0 K) in eV/atom: 0.329
Crystal system: orthorhombic

***

Tm2PaBi | PBE | relaxed

Cell lengths 4.515, 4.892, 4.892 Å; angles 90.00, 90.00, 90.00 degrees
Fractional positions:
Pa (0.500, 0.000, 0.000)
Tm (0.000, 0.000, 0.500)
Tm (0.000, 0.500, 0.000)
Bi (0.500, 0.500, 0.500)

Computed properties:
E above lowest polymorph in meV/atom: 50.4
ΔH_f (0 K) in eV/atom: -0.100
Crystal system: tetragonal

***

TmPaBi2 | PBE | relaxed

Cell lengths 4.432, 4.432, 7.816 Å; angles 73.53, 73.53, 60.00 degrees
Each line ends with the local moment (μB).
Fractional positions:
Pa (0.000, 0.000, 0.000)  1.19
Tm (0.500, 0.500, 0.500)  -0.01
Bi (0.247, 0.247, 0.258)  -0.03
Bi (0.753, 0.753, 0.742)  -0.03

Computed properties:
E above lowest polymorph in meV/atom: 0.0
ΔH_f (0 K) in eV/atom: -0.395
Crystal system: trigonal

***

Tm4PaBi5 | PBE | relaxed

Cell lengths 6.296, 7.690, 7.690 Å; angles 80.35, 65.84, 65.84 degrees
Each line ends with the local moment (μB).
Fractional positions:
Tm (0.400, 0.401, 0.801)  0.00
Tm (0.801, 0.801, 0.599)  0.00
Tm (0.201, 0.199, 0.401)  0.00
Tm (0.602, 0.599, 0.199)  0.00
Pa (0.001, 0.000, 0.000)  0.84
Bi (0.901, 0.401, 0.798)  -0.01
Bi (0.303, 0.798, 0.599)  -0.01
Bi (0.699, 0.202, 0.401)  -0.01
Bi (0.101, 0.599, 0.202)  -0.01
Bi (0.501, 0.000, 0.000)  -0.02

Computed properties:
ΔH_f (0 K) in eV/atom: -0.626
Crystal system: tetragonal

***

Tm2PaBi | PBE | relaxed

Cell lengths 3.479, 3.479, 10.942 Å; angles 80.85, 80.85, 60.00 degrees
Fractional positions:
Pa (0.500, 0.500, 0.500)
Tm (0.250, 0.250, 0.249)
Tm (0.750, 0.750, 0.751)
Bi (0.000, 0.000, 0.000)

Computed properties:
E above lowest polymorph in meV/atom: 47.2
ΔH_f (0 K) in eV/atom: -0.103
Crystal system: trigonal

***

TmPaBi2 | PBE | relaxed

Cell lengths 5.425, 5.425, 5.425 Å; angles 60.00, 60.00, 60.00 degrees
Each line ends with the local moment (μB).
Fractional positions:
Pa (0.000, 0.000, 0.000)  0.97
Tm (0.500, 0.500, 0.500)  0.37
Bi (0.250, 0.250, 0.250)  -0.06
Bi (0.750, 0.750, 0.750)  -0.06

Computed properties:
E above lowest polymorph in meV/atom: 112.2
ΔH_f (0 K) in eV/atom: -0.283
Crystal system: cubic

***

Tm2PaBi | PBE | relaxed

Cell lengths 3.859, 3.859, 7.363 Å; angles 90.00, 90.00, 90.00 degrees
Fractional positions:
Pa (0.500, 0.500, 0.500)
Tm (0.000, 0.000, 0.765)
Tm (0.000, 0.000, 0.235)
Bi (0.500, 0.500, 0.000)

Computed properties:
E above lowest polymorph in meV/atom: 0.0
ΔH_f (0 K) in eV/atom: -0.150
Crystal system: tetragonal

***

TmPaBi2 | PBE | relaxed

Cell lengths 3.906, 5.379, 5.379 Å; angles 90.00, 90.00, 90.00 degrees
Each line ends with the local moment (μB).
Fractional positions:
Pa (0.500, 0.500, 0.500)  0.95
Tm (0.500, 0.000, 0.000)  0.30
Bi (0.000, 0.000, 0.500)  -0.05
Bi (0.000, 0.500, 0.000)  -0.05

Computed properties:
E above lowest polymorph in meV/atom: 82.2
ΔH_f (0 K) in eV/atom: -0.313
Crystal system: tetragonal

***

TmPaBi6 | PBE | relaxed

Cell lengths 4.437, 4.542, 12.759 Å; angles 90.00, 100.01, 90.00 degrees
Fractional positions:
Tm (0.823, 0.000, 0.645)
Pa (0.173, 0.500, 0.346)
Bi (0.573, 0.500, 0.145)
Bi (0.418, 0.000, 0.835)
Bi (0.301, 0.500, 0.601)
Bi (0.695, 0.000, 0.389)
Bi (0.947, 0.500, 0.895)
Bi (0.071, 0.000, 0.142)

Computed properties:
ΔH_f (0 K) in eV/atom: -0.168
Crystal system: orthorhombic

***

TmPa2Bi | PBE | relaxed

Cell lengths 3.290, 3.290, 12.377 Å; angles 82.36, 82.36, 60.00 degrees
Fractional positions:
Pa (0.088, 0.088, 0.735)
Pa (0.912, 0.912, 0.265)
Tm (0.500, 0.500, 0.500)
Bi (0.000, 0.000, 0.000)

Computed properties:
ΔH_f (0 K) in eV/atom: 0.282
Crystal system: trigonal

***

U2PaBi | PBE | relaxed

Cell lengths 4.618, 4.533, 4.533 Å; angles 90.00, 90.00, 90.00 degrees
Each line ends with the local moment (μB).
Fractional positions:
Pa (0.500, 0.000, 0.000)  -0.05
U (0.000, 0.000, 0.500)  0.49
U (0.000, 0.500, 0.000)  0.49
Bi (0.500, 0.500, 0.500)  -0.01

Computed properties:
ΔH_f (0 K) in eV/atom: 0.120
Crystal system: tetragonal

***

UPaBi2 | PBE | relaxed

Cell lengths 5.435, 5.435, 5.435 Å; angles 60.00, 60.00, 60.00 degrees
Each line ends with the local moment (μB).
Fractional positions:
Pa (0.000, 0.000, 0.000)  1.29
U (0.500, 0.500, 0.500)  2.79
Bi (0.250, 0.250, 0.250)  -0.12
Bi (0.750, 0.750, 0.750)  -0.12

Computed properties:
E above lowest polymorph in meV/atom: 6.2
ΔH_f (0 K) in eV/atom: 0.015
Crystal system: cubic

***

UPaBi2 | PBE | relaxed

Cell lengths 4.598, 4.598, 7.507 Å; angles 72.17, 72.17, 60.00 degrees
Each line ends with the local moment (μB).
Fractional positions:
Pa (0.500, 0.500, 0.500)  1.09
U (0.000, 0.000, 0.000)  2.70
Bi (0.250, 0.250, 0.251)  -0.06
Bi (0.750, 0.750, 0.749)  -0.06

Computed properties:
E above lowest polymorph in meV/atom: 64.9
ΔH_f (0 K) in eV/atom: 0.074
Crystal system: trigonal

***

UPa2Bi | PBE | relaxed

Cell lengths 3.790, 3.790, 8.344 Å; angles 76.87, 76.87, 60.00 degrees
Fractional positions:
Pa (0.267, 0.267, 0.199)
Pa (0.733, 0.733, 0.801)
U (0.000, 0.000, 0.000)
Bi (0.500, 0.500, 0.500)

Computed properties:
E above lowest polymorph in meV/atom: 189.7
ΔH_f (0 K) in eV/atom: 0.200
Crystal system: trigonal

***

UPaBi2 | PBE | relaxed

Cell lengths 3.824, 3.824, 7.699 Å; angles 90.00, 90.00, 90.00 degrees
Each line ends with the local moment (μB).
Fractional positions:
Pa (0.500, 0.500, 0.500)  0.94
U (0.500, 0.500, 0.000)  2.78
Bi (0.000, 0.000, 0.749)  -0.12
Bi (0.000, 0.000, 0.251)  -0.12

Computed properties:
E above lowest polymorph in meV/atom: 0.0
ΔH_f (0 K) in eV/atom: 0.009
Crystal system: tetragonal